# 1
Material: SrZn6Ir
Method: DFT, PBE-GGA
State: optimized geometry

Values from the calculation:
formation energy: -137.0 meV per atom
Fermi-level density of states: 0.71 states/eV/atom
space group: P4/mmm (123)

abc: 4.423 4.423 7.955
angles: 90.00 90.00 90.00
Positions (direct):
Sr1 0.000 0.000 0.000
Zn1 0.000 0.500 0.333
Zn2 0.000 0.500 0.667
Zn3 0.500 0.000 0.333
Zn4 0.500 0.000 0.667
Zn5 0.500 0.500 0.157
Zn6 0.500 0.500 0.843
Ir1 0.000 0.000 0.500

---

# 2
Material: KCuP
Method: DFT, PBE-GGA
State: optimized geometry

Values from the calculation:
formation energy: -247.2 meV per atom
Fermi-level density of states: 0.70 states/eV/atom
space group: P-6m2 (187)

abc: 3.914 3.914 5.230
angles: 90.00 90.00 120.00
Positions (direct):
K1 0.000 0.000 0.000
Cu1 0.333 0.667 0.500
P1 0.667 0.333 0.500

---

# 3
Material: RbZn4Cd
Method: DFT, PBE-GGA
State: optimized geometry

Values from the calculation:
formation energy: 176.1 meV per atom
Fermi-level density of states: 0.59 states/eV/atom
space group: F-43m (216)

abc: 5.718 5.718 5.718
angles: 60.00 60.00 60.00
Positions (direct):
Rb1 0.000 0.000 0.000
Zn1 0.377 0.377 0.377
Zn2 0.377 0.377 0.870
Zn3 0.377 0.870 0.377
Zn4 0.870 0.377 0.377
Cd1 0.750 0.750 0.750

---

# 4
Material: TmReRuW
Method: DFT, PBE-GGA
State: optimized geometry

Values from the calculation:
formation energy: -37.8 meV per atom
Fermi-level density of states: 0.31 states/eV/atom
space group: F-43m (216)

abc: 4.563 4.563 4.563
angles: 60.00 60.00 60.00
Positions (direct):
Tm1 0.000 0.000 0.000
Re1 0.750 0.750 0.750
Ru1 0.250 0.250 0.250
W1 0.500 0.500 0.500

---

# 5
Material: Nd12Tm5In2
Method: DFT, PBE-GGA
State: optimized geometry

Values from the calculation:
formation energy: -8.6 meV per atom
Fermi-level density of states: 1.47 states/eV/atom
space group: C2/m (12)

abc: 9.040 9.040 8.651
angles: 92.76 92.76 62.18
Positions (direct):
Nd1 0.058 0.058 0.325
Nd2 0.071 0.680 0.338
Nd3 0.165 0.536 0.766
Nd4 0.320 0.929 0.662
Nd5 0.417 0.417 0.114
Nd6 0.464 0.835 0.234
Nd7 0.536 0.165 0.766
Nd8 0.583 0.583 0.886
Nd9 0.680 0.071 0.338
Nd10 0.835 0.464 0.234
Nd11 0.929 0.320 0.662
Nd12 0.942 0.942 0.675
Tm1 0.188 0.188 0.011
Tm2 0.268 0.268 0.417
Tm3 0.500 0.500 0.500
Tm4 0.732 0.732 0.583
Tm5 0.812 0.812 0.989
In1 0.174 0.826 0.000
In2 0.826 0.174 0.000

---

# 6
Material: NaTbCdPd
Method: DFT, PBE-GGA
State: optimized geometry

Values from the calculation:
formation energy: -278.7 meV per atom
Fermi-level density of states: 0.54 states/eV/atom
space group: F-43m (216)

abc: 5.043 5.043 5.043
angles: 60.00 60.00 60.00
Positions (direct):
Na1 0.000 0.000 0.000
Tb1 0.500 0.500 0.500
Cd1 0.750 0.750 0.750
Pd1 0.250 0.250 0.250

---

# 7
Material: Zr2ZnSe
Method: DFT, PBE-GGA
State: optimized geometry

Values from the calculation:
offset from the most stable computed form: 3.34 kJ per mole of atoms
Fermi-level density of states: 0.48 states/eV/atom
space group: Pmmm (47)
energy relative to the elements, uncorrected: -0.648 eV/atom

abc: 3.522 4.241 5.433
angles: 90.00 90.00 90.00
Positions (direct):
Zr1 0.000 0.000 0.000
Zr2 0.500 0.500 0.500
Zn1 0.000 0.000 0.500
Se1 0.500 0.500 0.000

---

# 8
Material: Pu2H2Pb
Method: DFT, PBE-GGA
State: optimized geometry

Values from the calculation:
offset from the most stable computed form: 0.00 kJ per mole of atoms
Fermi-level density of states: 3.11 states/eV/atom
space group: Fddd (70)

abc: 7.741 6.562 5.864
angles: 76.83 55.64 47.53
Positions (direct):
Pu1 0.049 0.701 0.049
Pu2 0.299 0.951 0.299
Pu3 0.701 0.049 0.701
Pu4 0.951 0.299 0.951
H1 0.004 0.004 0.246
H2 0.246 0.246 0.004
H3 0.754 0.754 0.996
H4 0.996 0.996 0.754
Pb1 0.375 0.375 0.375
Pb2 0.625 0.625 0.625